1.
This record from the Alexandria database describes an optimized crystal structure of RbPtBr. The functional is PBE-GGA.

a = 9.4268 Å, b = 9.4268 Å, c = 9.4268 Å
α = 156.41°, β = 144.05°, γ = 43.45°
Sites, in units of the cell vectors:
Rb1 0.0000 0.0000 0.0000
Rb2 0.2398 0.2398 0.0000
Pt1 0.5087 0.5087 0.0000
Pt2 0.6077 0.1077 0.5000
Br1 0.4039 0.9039 0.5000
Br2 0.7095 0.7095 0.0000

Computed properties:
As for the volume: 32.73 A^3/atom. The calculation puts the theoretical density at 6.1 g/cm3. The calculation puts the total magnetic moment at 0.000 μB/atom. The calculation puts the formation energy without anion corrections at -186 kJ/mol of formula units. As for the total DFT energy (no corrections): -21.2 eV/cell. As for the symmetry: Imm2 (44).



2.
This record from the Alexandria database describes an optimized crystal structure of LaAl2Os. The functional is PBE-GGA.

a = 8.9878 Å, b = 8.9878 Å, c = 8.9878 Å
α = 147.86°, β = 147.86°, γ = 46.09°
Sites, in units of the cell vectors:
La1 0.3750 0.6250 0.7500
La2 0.6250 0.3750 0.2500
Al1 0.0000 0.0000 0.0000
Al2 0.0000 0.0000 0.5000
Al3 0.0000 0.5000 0.0000
Al4 0.5000 0.0000 0.5000
Os1 0.1250 0.8750 0.2500
Os2 0.8750 0.1250 0.7500

Computed properties:
As for the volume: 25.59 A^3/atom. The formation enthalpy at 0 K comes out at 0.057 eV per atom. The calculation puts the theoretical density at 6.2 g/cm3. The calculation puts the total magnetic moment at 0.000 μB/atom. As for the total DFT energy (no corrections): -46.8 eV/cell. As for the symmetry: I4_1/amd (141).



3.
This record from the Alexandria database describes an optimized crystal structure of Ba5ZnGa2. The functional is PBE-GGA.

a = 10.8351 Å, b = 10.8351 Å, c = 10.8351 Å
α = 133.04°, β = 133.04°, γ = 68.59°
Sites, in units of the cell vectors:
Ba1 0.0000 0.0000 0.0000
Ba2 0.0305 0.5305 0.8472
Ba3 0.1832 0.0305 0.5000
Ba4 0.3168 0.8168 0.8472
Ba5 0.4695 0.3168 0.5000
Ba6 0.5000 0.5000 0.0000
Ba7 0.5305 0.6832 0.5000
Ba8 0.6832 0.1832 0.1528
Ba9 0.8168 0.9695 0.5000
Ba10 0.9695 0.4695 0.1528
Zn1 0.2500 0.2500 0.0000
Zn2 0.7500 0.7500 0.0000
Ga1 0.1057 0.3943 0.5000
Ga2 0.3943 0.8943 0.2885
Ga3 0.6057 0.1057 0.7115
Ga4 0.8943 0.6057 0.5000

Computed properties:
As for the volume: 41.70 A^3/atom. The formation enthalpy at 0 K comes out at -0.212 eV per atom. The calculation puts the theoretical density at 4.4 g/cm3. The calculation puts the total magnetic moment at 0.000 μB/atom. As for the total DFT energy (no corrections): -37.3 eV/cell. As for the symmetry: I4/mcm (140).



4.
This record from the Alexandria database describes an optimized crystal structure of LaCd2Fe. The functional is PBE-GGA.

a = 3.2349 Å, b = 3.3172 Å, c = 8.2433 Å
α = 90.00°, β = 90.00°, γ = 90.00°
Sites, in units of the cell vectors:
La1 0.0000 0.0000 0.0000
Cd1 0.5000 0.5000 0.3053
Cd2 0.5000 0.5000 0.6947
Fe1 0.0000 0.0000 0.5000

Computed properties:
As for the volume: 22.11 A^3/atom. The formation enthalpy at 0 K comes out at 0.122 eV per atom. The calculation puts the theoretical density at 7.9 g/cm3. The calculation puts the total magnetic moment at 0.594 μB/atom. As for the total DFT energy (no corrections): -14.7 eV/cell. As for the symmetry: Pmmm (47).



5.
This record from the Alexandria database describes an optimized crystal structure of MgGaAgF6. The functional is PBE-GGA.

a = 5.2964 Å, b = 5.2964 Å, c = 10.4848 Å
α = 90.00°, β = 90.00°, γ = 120.00°
Sites, in units of the cell vectors:
Mg1 0.3333 0.6667 0.2500
Mg2 0.6667 0.3333 0.7500
Ga1 0.3333 0.6667 0.7500
Ga2 0.6667 0.3333 0.2500
Ag1 0.0000 0.0000 0.0000
Ag2 0.0000 0.0000 0.5000
F1 0.0126 0.3810 0.6488
F2 0.0126 0.6316 0.8512
F3 0.3684 0.3810 0.8512
F4 0.3684 0.9874 0.6488
F5 0.3810 0.0126 0.1488
F6 0.3810 0.3684 0.3512
F7 0.6190 0.6316 0.6488
F8 0.6190 0.9874 0.8512
F9 0.6316 0.0126 0.3512
F10 0.6316 0.6190 0.1488
F11 0.9874 0.3684 0.1488
F12 0.9874 0.6190 0.3512

Computed properties:
As for the volume: 14.15 A^3/atom. The calculation puts the theoretical density at 4.1 g/cm3. The calculation puts the total magnetic moment at 0.007 μB/atom. The calculation puts the formation energy without anion corrections at -2238 kJ/mol of formula units. As for the total DFT energy (no corrections): -83.8 eV/cell. As for the symmetry: P-31c (163).



6.
This record from the Alexandria database describes an optimized crystal structure of SbTe2Pt. The functional is PBE-GGA.

a = 12.3003 Å, b = 12.3003 Å, c = 12.3003 Å
α = 14.81°, β = 14.81°, γ = 14.81°
Sites, in units of the cell vectors:
Sb1 0.0000 0.0000 0.0000
Te1 0.4287 0.4287 0.4287
Te2 0.5713 0.5713 0.5713
Pt1 0.5000 0.5000 0.5000

Computed properties:
As for the volume: 26.48 A^3/atom. The calculation puts the theoretical density at 9.0 g/cm3. The calculation puts the total magnetic moment at 0.000 μB/atom. The calculation puts the formation energy without anion corrections at 103 kJ/mol of formula units. As for the total DFT energy (no corrections): -15.4 eV/cell. As for the symmetry: R-3m (166).



7.
This record from the Alexandria database describes an optimized crystal structure of Tb3PmSm2P6. The functional is PBE-GGA.

a = 7.0526 Å, b = 7.0526 Å, c = 7.0528 Å
α = 99.58°, β = 99.58°, γ = 119.99°
Sites, in units of the cell vectors:
Tb1 0.0000 0.0000 0.0000
Tb2 0.3334 0.6666 0.0000
Tb3 0.6666 0.3334 0.0000
Pm1 0.5000 0.5000 0.5000
Sm1 0.1667 0.8333 0.5000
Sm2 0.8333 0.1667 0.5000
P1 0.0808 0.4149 0.2447
P2 0.2510 0.2510 0.7553
P3 0.4149 0.0808 0.2447
P4 0.5851 0.9192 0.7553
P5 0.7490 0.7490 0.2447
P6 0.9192 0.5851 0.7553

Computed properties:
As for the volume: 23.87 A^3/atom. The formation enthalpy at 0 K comes out at -1.589 eV per atom. The calculation puts the theoretical density at 6.4 g/cm3. The calculation puts the total magnetic moment at 0.000 μB/atom. As for the total DFT energy (no corrections): -79.6 eV/cell. As for the symmetry: C2/m (12).



8.
This record from the Alexandria database describes an optimized crystal structure of CuTe2P. The functional is PBE-GGA.

a = 9.1430 Å, b = 9.1430 Å, c = 9.1430 Å
α = 156.36°, β = 156.36°, γ = 33.68°
Sites, in units of the cell vectors:
Cu1 0.0000 0.0000 0.0000
Te1 0.5000 0.5000 0.0000
Te2 0.7500 0.2500 0.5000
P1 0.2500 0.7500 0.5000

Computed properties:
As for the volume: 30.70 A^3/atom. The calculation puts the theoretical density at 4.7 g/cm3. The calculation puts the total magnetic moment at 0.053 μB/atom. The calculation puts the formation energy without anion corrections at 169 kJ/mol of formula units. As for the total DFT energy (no corrections): -14.0 eV/cell. As for the symmetry: I-4m2 (119).